Computed, not measured: a relaxed Ba2YZnOs crystal at the PBEsol level of DFT.

Values from the calculation:
Energy of formation: 5.52 eV per formula unit
Space-group type: P4/mmm

Geometry as POSCAR:
```
Ba2YZnOs
1.0
6.451 0.000 0.000
0.000 6.451 0.000
0.000 0.000 4.716
Ba Y Zn Os
2 1 1 1
direct
0.000 0.500 0.000
0.500 0.000 0.000
0.000 0.000 0.000
0.500 0.500 0.500
0.000 0.000 0.500
```

***

Computed, not measured: a relaxed TaFeCo2 crystal at the PBEsol level of DFT.

Values from the calculation:
Energy of formation: 0.93 eV per formula unit
Space-group type: R-3m
Polymorph energy (0 for the lowest one): 436 meV/atom

Geometry as POSCAR:
```
TaFeCo2
1.0
1.347 0.777 8.089
-1.347 0.777 8.089
0.000 -1.555 8.089
Ta Fe Co
1 1 2
direct
0.000 0.000 0.000
0.500 0.500 0.500
0.243 0.243 0.243
0.757 0.757 0.757
```